Record 1
DFT (GGA-PBE) results for an optimized crystal structure of HfSiNi2.

Cell lengths 5.0147, 6.3719, 13.6993 Å; angles 90.00, 90.00, 90.00 degrees
Closest atoms and distances in Å follow each position.
Positions (direct):
Hf1 0.4955 0.2500 0.1417  3 Si 2.68-2.77, 8 Ni 2.71-2.96
Hf2 0.9955 0.7500 0.3583  3 Si 2.68-2.77, 8 Ni 2.71-2.96
Hf3 0.5045 0.7500 0.8583  3 Si 2.68-2.77, 8 Ni 2.71-2.96
Hf4 0.0045 0.2500 0.6417  3 Si 2.68-2.77, 8 Ni 2.71-2.96
Hf5 0.7389 0.2500 0.3938  3 Si 2.66-2.76, 8 Ni 2.72-2.98
Hf6 0.2389 0.7500 0.1062  3 Si 2.66-2.76, 8 Ni 2.72-2.98
Hf7 0.2611 0.7500 0.6062  3 Si 2.66-2.76, 8 Ni 2.72-2.98
Hf8 0.7611 0.2500 0.8938  3 Si 2.66-2.76, 8 Ni 2.72-2.98
Si1 0.2282 0.2500 0.3185  6 Ni 2.30-2.38
Si2 0.7282 0.7500 0.1815  6 Ni 2.30-2.38
Si3 0.7718 0.7500 0.6815  6 Ni 2.30-2.38
Si4 0.2718 0.2500 0.8185  6 Ni 2.30-2.38
Si5 0.9967 0.2500 0.0714  6 Ni 2.34-2.38
Si6 0.4967 0.7500 0.4286  6 Ni 2.34-2.38
Si7 0.0033 0.7500 0.9286  6 Ni 2.34-2.38
Si8 0.5033 0.2500 0.5714  6 Ni 2.34-2.38
Ni1 0.9626 0.0525 0.2146  3 Si 2.30-2.34, 1 Ni 2.52
Ni2 0.4626 0.9475 0.2854  3 Si 2.30-2.34, 1 Ni 2.52
Ni3 0.0374 0.5525 0.7854  3 Si 2.30-2.34, 1 Ni 2.52
Ni4 0.5374 0.4475 0.7146  3 Si 2.30-2.34, 1 Ni 2.52
Ni5 0.0374 0.9475 0.7854  3 Si 2.30-2.34, 1 Ni 2.52
Ni6 0.5374 0.0525 0.7146  3 Si 2.30-2.34, 1 Ni 2.52
Ni7 0.9626 0.4475 0.2146  3 Si 2.30-2.34, 1 Ni 2.52
Ni8 0.4626 0.5525 0.2854  3 Si 2.30-2.34, 1 Ni 2.52
Ni9 0.7371 0.5522 0.0343  3 Si 2.34-2.38, 1 Ni 2.52
Ni10 0.2371 0.4478 0.4657  3 Si 2.34-2.38, 1 Ni 2.52
Ni11 0.2629 0.0522 0.9657  3 Si 2.34-2.38, 1 Ni 2.52
Ni12 0.7629 0.9478 0.5343  3 Si 2.34-2.38, 1 Ni 2.52
Ni13 0.2629 0.4478 0.9657  3 Si 2.34-2.38, 1 Ni 2.52
Ni14 0.7629 0.5522 0.5343  3 Si 2.34-2.38, 1 Ni 2.52
Ni15 0.7371 0.9478 0.0343  3 Si 2.34-2.38, 1 Ni 2.52
Ni16 0.2371 0.0522 0.4657  3 Si 2.34-2.38, 1 Ni 2.52

## Properties
Its total DFT energy (no corrections) is -7.472 eV per atom. Its crystal system is orthorhombic. For the magnetic moment, the calculation gives 0.0 μB/f.u.

***

Record 2
DFT (GGA-PBE) results for an optimized crystal structure of HfSi3Ni5.

Cell lengths 3.5046, 6.1894, 11.3979 Å; angles 90.00, 90.00, 106.45 degrees
Closest atoms and distances in Å follow each position.
Positions (direct):
Hf1 0.8730 0.7459 0.7500  5 Si 2.90-3.00, 6 Ni 2.99-3.22
Hf2 0.1270 0.2541 0.2500  5 Si 2.90-3.00, 6 Ni 2.99-3.22
Si1 0.3819 0.7638 0.9522  7 Ni 2.18-2.39
Si2 0.8743 0.7486 0.2500  6 Ni 2.25-2.30
Si3 0.3819 0.7638 0.5478  7 Ni 2.18-2.39
Si4 0.6181 0.2362 0.4522  7 Ni 2.18-2.39
Si5 0.1257 0.2514 0.7500  6 Ni 2.25-2.30
Si6 0.6181 0.2362 0.0478  7 Ni 2.18-2.39
Ni1 0.8010 0.6020 0.4319  4 Si 2.18-2.39
Ni2 0.1990 0.3980 0.9319  4 Si 2.18-2.39
Ni3 0.0000 0.0000 0.5000  4 Si 2.31, 6 Ni 2.49
Ni4 0.0000 0.0000 0.0000  4 Si 2.31, 6 Ni 2.49
Ni5 0.4493 0.8985 0.1453  4 Si 2.29-2.34, 3 Ni 2.39-2.49
Ni6 0.5507 0.1015 0.8547  4 Si 2.29-2.34, 3 Ni 2.39-2.49
Ni7 0.5507 0.1015 0.6453  4 Si 2.29-2.34, 3 Ni 2.39-2.49
Ni8 0.8010 0.6020 0.0681  4 Si 2.18-2.39
Ni9 0.1990 0.3980 0.5681  4 Si 2.18-2.39
Ni10 0.4493 0.8985 0.3547  4 Si 2.29-2.34, 3 Ni 2.39-2.49

## Properties
Its total DFT energy (no corrections) is -6.643 eV per atom. Its crystal system is orthorhombic. For the magnetic moment, the calculation gives 0.0 μB/f.u.

***

Record 3
DFT (GGA-PBE) results for an optimized crystal structure of HfSiNi2.

Cell lengths 3.8708, 3.8708, 8.5744 Å; angles 76.95, 76.95, 90.00 degrees
Closest atoms and distances in Å follow each position.
Positions (direct):
Ni1 0.5705 0.1250 0.2500  2 Si 2.37, 2 Ni 2.46, 2 Hf 2.54
Ni2 0.1795 0.6250 0.2500  2 Si 2.37, 2 Ni 2.46, 2 Hf 2.54
Ni3 0.3750 0.4295 0.7500  2 Si 2.37, 2 Ni 2.46, 2 Hf 2.54
Ni4 0.8750 0.8205 0.7500  2 Si 2.37, 2 Ni 2.46, 2 Hf 2.54
Si1 0.5000 0.5000 0.0000  4 Ni 2.37
Si2 0.2500 0.7500 0.5000  4 Ni 2.37
Hf1 0.0000 0.0000 0.0000  4 Ni 2.54, 4 Si 2.74
Hf2 0.7500 0.2500 0.5000  4 Ni 2.54, 4 Si 2.74

## Properties
Its total DFT energy (no corrections) is -6.942 eV per atom. Its crystal system is tetragonal. For the magnetic moment, the calculation gives 0.0 μB/f.u.